Record 1
VASP calculation (GGA-PBE) on a geometry-optimized Li2CoHgAs structure.

```
5
Lattice="4.791 0.000 0.000 0.000 4.791 0.000 0.000 0.000 5.092" Properties=species:S:1:pos:R:3 pbc="T T T"
Li 0.000 2.395 0.000
Li 2.395 0.000 0.000
Co 0.000 0.000 2.546
Hg 2.395 2.395 0.000
As 2.395 2.395 2.546
```

Computed properties:
* energy of formation from the pure elements: 750 meV/atom
* symmetry: P4/mmm (123)

Record 2
VASP calculation (GGA-PBE) on a geometry-optimized MgCoHgAs2 structure.

```
5
Lattice="4.496 0.000 0.000 0.000 4.496 0.000 0.000 0.000 5.126" Properties=species:S:1:pos:R:3 pbc="T T T"
Mg 0.000 0.000 0.000
Co 0.000 0.000 2.563
Hg 2.248 2.248 0.000
As 0.000 2.248 2.563
As 2.248 0.000 2.563
```

Computed properties:
* energy of formation from the pure elements: 98 meV/atom
* symmetry: P4/mmm (123)

| no. | spin magnetization (μB per formula unit) |
| --- | --- |
| 1 | 1.91 |
| 2 | 0.00 |